Record 1
An optimized crystal structure of Sr4TlAgN2. Source: the Open Quantum Materials Database, functional PBE.

The total energy comes out at -64.51 eV per cell.

CIF file:
```
data_Sr4TlAgN2
_chemical_formula_sum 'Sr8 Tl2 Ag2 N4'
_symmetry_space_group_name_H-M 'A m m 2'
_symmetry_Int_Tables_number 38
_symmetry_space_group_name_Hall 'A 2 -2'
_cell_length_a 5.3665
_cell_length_b 3.7640
_cell_length_c 20.1695
_cell_angle_alpha 90.00
_cell_angle_beta 90.00
_cell_angle_gamma 90.00
loop_
_atom_site_label
_atom_site_type_symbol
_atom_site_fract_x
_atom_site_fract_y
_atom_site_fract_z
Sr1 Sr 0.0000 0.0000 0.0000
Sr2 Sr 0.0000 0.0000 0.1734
Sr3 Sr 0.5000 0.0000 0.6047
Sr4 Sr 0.5000 0.0000 0.7788
Tl1 Tl 0.5000 0.0000 0.4248
Ag1 Ag 0.0000 0.0000 0.3563
N1 N 0.0000 0.0000 0.5854
N2 N 0.5000 0.0000 0.1934
```


Record 2
An optimized crystal structure of Ga8Cu3W2. Source: the Open Quantum Materials Database, functional PBE.

The total energy comes out at -501.61 eV per cell. Its magnetization is 0.00 μB/f.u.

CIF file:
```
data_Ga8Cu3W2
_chemical_formula_sum 'Ga64 Cu24 W16'
_symmetry_space_group_name_H-M 'I -4 3 d'
_symmetry_Int_Tables_number 220
_symmetry_space_group_name_Hall 'I -4bd 2c 3'
_cell_length_a 12.0035
_cell_length_b 12.0035
_cell_length_c 12.0035
_cell_angle_alpha 90.00
_cell_angle_beta 90.00
_cell_angle_gamma 90.00
loop_
_atom_site_label
_atom_site_type_symbol
_atom_site_fract_x
_atom_site_fract_y
_atom_site_fract_z
Ga1 Ga 0.1045 0.3955 0.6045
Ga2 Ga 0.1108 0.3778 0.8791
Cu1 Cu 0.0000 0.2500 0.0196
W1 W 0.0214 0.0214 0.0214
```


Record 3
An optimized crystal structure of Tb2PrSe3. Source: the Open Quantum Materials Database, functional PBE.

The total energy comes out at -35.28 eV per cell. Its magnetization is 0.00 μB/f.u.

CIF file:
```
data_Tb2PrSe3
_chemical_formula_sum 'Tb2 Pr1 Se3'
_symmetry_space_group_name_H-M 'P -3 m 1'
_symmetry_Int_Tables_number 164
_symmetry_space_group_name_Hall '-P 3 2"'
_cell_length_a 4.1250
_cell_length_b 4.1250
_cell_length_c 10.2407
_cell_angle_alpha 90.00
_cell_angle_beta 90.00
_cell_angle_gamma 120.00
loop_
_atom_site_label
_atom_site_type_symbol
_atom_site_fract_x
_atom_site_fract_y
_atom_site_fract_z
Tb1 Tb 0.3333 0.6667 0.1631
Pr1 Pr 0.0000 0.0000 0.5000
Se1 Se 0.0000 0.0000 0.0000
Se2 Se 0.3333 0.6667 0.6794
```


Record 4
An optimized crystal structure of TbYAu2O4. Source: the Open Quantum Materials Database, functional PBE.

The total energy comes out at -55.25 eV per cell. Its magnetization is 0.00 μB/f.u.

CIF file:
```
data_TbYAu2O4
_chemical_formula_sum 'Tb1 Y1 Au2 O4'
_symmetry_space_group_name_H-M 'P -3 m 1'
_symmetry_Int_Tables_number 164
_symmetry_space_group_name_Hall '-P 3 2"'
_cell_length_a 3.5515
_cell_length_b 3.5515
_cell_length_c 12.1869
_cell_angle_alpha 90.00
_cell_angle_beta 90.00
_cell_angle_gamma 120.00
loop_
_atom_site_label
_atom_site_type_symbol
_atom_site_fract_x
_atom_site_fract_y
_atom_site_fract_z
Tb1 Tb 0.0000 0.0000 0.0000
Y1 Y 0.0000 0.0000 0.5000
Au1 Au 0.3333 0.6667 0.7497
O1 O 0.3333 0.6667 0.5825
O2 O 0.3333 0.6667 0.9168
```